Ac6ErTl5 | GGA-PBE | optimized geometry

Properties
- DOS(E_F): 16.6 states/eV/cell
- Magnetic moment: 0.758 μB/f.u.
- Electronic total energy: -3.67 eV/atom
- V: 429.3 Å³ per cell

Unit cell a=10.1891 b=10.1891 c=10.1891 alpha=146.88 beta=131.44 gamma=60.04
With the nearest neighbours (Å) after each atom.
Element x y z (fractional)
Ac 0.0726 0.3286 0.7441  7 Tl 3.55-3.70, 1 Er 3.71
Ac 0.2377 0.0000 0.2377  6 Tl 3.50-3.57, 2 Er 3.64
Ac 0.4155 0.6714 0.7441  7 Tl 3.55-3.70, 1 Er 3.71
Ac 0.5845 0.3286 0.2559  7 Tl 3.55-3.70, 1 Er 3.71
Ac 0.7623 0.0000 0.7623  6 Tl 3.50-3.57, 2 Er 3.64
Ac 0.9274 0.6714 0.2559  7 Tl 3.55-3.70, 1 Er 3.71
Er 0.5000 0.5000 0.0000  8 Ac 3.64-3.71, 4 Tl 3.98
Tl 0.0000 0.5000 0.5000  8 Ac 3.52-3.65
Tl 0.1681 0.1681 0.0000  8 Ac 3.55-3.57
Tl 0.3459 0.8459 0.5000  8 Ac 3.50-3.70
Tl 0.6541 0.1541 0.5000  8 Ac 3.50-3.70
Tl 0.8319 0.8319 0.0000  8 Ac 3.55-3.57